Compound: AcGaTe3
Source: the Alexandria database
Functional: PBE-GGA
Structure: relaxed

a = 4.9722 Å, b = 8.6845 Å, c = 8.6872 Å
α = 71.21°, β = 89.19°, γ = 89.19°
With the nearest neighbours (Å) after each atom.
Atoms (fractional coordinates):
Te 0.0036 0.0113 0.0470  1 Ga 2.64
Te 0.4812 0.2959 0.3320  1 Ga 2.64
Te 0.4812 0.8932 0.7351  1 Ga 2.64
Te 0.0065 0.5530 0.9920  2 Ga 2.70
Te 0.0034 0.6085 0.4502  1 Ga 2.64
Te 0.4783 0.3514 0.7902  2 Ga 2.70
Ga 0.7423 0.6365 0.7070  4 Te 2.64-2.70
Ga 0.7422 0.2677 0.0754  4 Te 2.64-2.70
Ac 0.9764 0.1835 0.6222  8 Te 3.40-3.51
Ac 0.5083 0.7210 0.1600  8 Te 3.40-3.51

Electronic total energy ... -4.217 eV per atom
Space-group type ... C2/m, No. 12